Entry from Alexandria: a geometry-optimized Nb2AgOs structure (PBE).

Lattice parameters (Å, degrees): 2.832 2.832 10.472 82.23 82.23 60.00
Positions (direct):
Ag (0.000, 0.000, 0.000)
Nb (0.907, 0.907, 0.280)
Os (0.500, 0.500, 0.500)
Nb (0.093, 0.093, 0.720)

Energy of formation from the pure elements in eV per atom: 0.36
Total moment in μB/atom: 0.000

---

Entry from Alexandria: a geometry-optimized MgIn3Ag4 structure (PBE).

Lattice parameters (Å, degrees): 5.755 6.199 10.717 88.10 61.92 103.14
Positions (direct):
Ag (0.566, 0.548, 0.019)
In (0.566, 0.290, 0.759)
Mg (0.550, 0.568, 0.522)
Ag (0.063, 0.930, 0.985)
Ag (0.074, 0.209, 0.727)
Ag (0.062, 0.452, 0.481)
Mg (0.079, 0.432, 0.978)
In (0.078, 0.681, 0.231)
Ag (0.566, 0.070, 0.515)
In (0.579, 0.050, 0.012)
In (0.551, 0.319, 0.269)
In (0.063, 0.710, 0.741)
In (0.050, 0.950, 0.488)
Ag (0.555, 0.791, 0.773)
Ag (0.575, 0.814, 0.275)
Ag (0.054, 0.186, 0.225)

Energy of formation from the pure elements in eV per atom: -0.05
Total moment in μB/atom: 0.000

---

Entry from Alexandria: a geometry-optimized NiIr3Rh2 structure (PBE).

Lattice parameters (Å, degrees): 4.693 5.386 7.146 112.14 90.02 90.00
Positions (direct):
Rh (0.917, 0.290, 0.331)
Rh (0.083, 0.710, 0.669)
Ir (0.581, 0.460, 0.670)
Ir (0.750, 0.379, 0.000)
Ni (0.750, 0.877, 0.000)
Ir (0.919, 0.791, 0.330)
Rh (0.417, 0.041, 0.331)
Ir (0.250, 0.621, 0.000)
Ir (0.081, 0.209, 0.670)
Ir (0.419, 0.540, 0.330)
Ni (0.250, 0.123, 0.000)
Rh (0.583, 0.959, 0.669)

Energy of formation from the pure elements in eV per atom: 0.01
Total moment in μB/atom: 0.001

---

Entry from Alexandria: a geometry-optimized Li2Dy2TmTl2 structure (PBE).

Lattice parameters (Å, degrees): 4.791 4.791 9.346 75.15 75.15 60.00
Positions (direct):
Tl (0.737, 0.737, 0.790)
Li (0.606, 0.606, 0.182)
Dy (0.874, 0.874, 0.379)
Li (0.394, 0.394, 0.818)
Tm (0.000, 0.000, 0.000)
Dy (0.126, 0.126, 0.621)
Tl (0.263, 0.263, 0.210)

Energy of formation from the pure elements in eV per atom: -0.16
Total moment in μB/atom: 0.000

---

Entry from Alexandria: a geometry-optimized SiSb2Se2 structure (PBE).

Lattice parameters (Å, degrees): 5.884 5.884 5.884 122.61 122.61 85.54
Positions (direct):
Sb (0.320, 0.320, 0.000)
Si (0.000, 0.000, 0.000)
Se (0.250, 0.750, 0.500)
Se (0.750, 0.250, 0.500)
Sb (0.680, 0.680, 0.000)

Total moment in μB/atom: 0.000
ΔE_f (raw) in eV per atom: 0.3650

---

Entry from Alexandria: a geometry-optimized LiB4C4 structure (PBE).

Lattice parameters (Å, degrees): 2.731 7.369 8.936 90.00 90.00 90.00
Positions (direct):
C (0.500, 0.225, 0.903)
B (0.000, 0.764, 0.681)
C (0.500, 0.220, 0.396)
C (0.000, 0.265, 0.651)
C (0.000, 0.720, 0.854)
C (0.500, 0.792, 0.103)
B (0.000, 0.218, 0.823)
B (0.500, 0.264, 0.569)
C (0.500, 0.765, 0.599)
B (0.000, 0.229, 0.317)
Li (0.500, 0.495, 0.750)
B (0.500, 0.729, 0.933)
C (0.000, 0.292, 0.147)
B (0.000, 0.792, 0.180)
B (0.500, 0.292, 0.070)
C (0.000, 0.725, 0.347)
B (0.500, 0.718, 0.427)
Li (0.000, 0.995, 0.500)

Energy of formation from the pure elements in eV per atom: 0.23
Total moment in μB/atom: 0.000